# Al6ReAg

A relaxed Al6ReAg crystal (GGA-PBE, the Alexandria database).

Calculated values
Energy of formation from the pure elements: 270 meV/atom
Energy: -4.45 eV/atom
Symmetry: C2/m (12)

Structure (POSCAR):
```
Al6ReAg
1.0
5.447 0.866 0.000
2.249 5.811 0.000
1.124 2.906 4.894
Al Re Ag
6 1 1
direct
0.755 0.486 0.565 Al
0.755 0.051 0.435 Al
0.245 0.949 0.565 Al
0.245 0.514 0.435 Al
0.761 0.734 0.000 Al
0.239 0.266 0.000 Al
0.500 0.500 0.000 Re
0.000 0.000 0.000 Ag
```



# PrUHN2

A relaxed PrUHN2 crystal (GGA-PBE, the Alexandria database).

Calculated values
Energy: -8.40 eV/atom
Symmetry: P4/nmm (129)

Structure (POSCAR):
```
PrUHN2
1.0
3.500 0.000 0.000
0.000 3.500 0.000
0.000 0.000 11.272
Pr U H N
2 2 2 4
direct
0.500 0.000 0.645 Pr
0.000 0.500 0.355 Pr
0.500 0.000 0.109 U
0.000 0.500 0.891 U
0.000 0.000 0.500 H
0.500 0.500 0.500 H
0.000 0.500 0.710 N
0.000 0.500 0.109 N
0.500 0.000 0.891 N
0.500 0.000 0.290 N
```



# SmGdMgFe

A relaxed SmGdMgFe crystal (GGA-PBE, the Alexandria database).

Calculated values
Energy of formation from the pure elements: 132 meV/atom
Energy: -7.08 eV/atom
Symmetry: F-43m (216)

Structure (POSCAR):
```
SmGdMgFe
1.0
5.136 0.000 0.000
2.568 4.448 0.000
2.568 1.483 4.193
Mg Gd Fe Sm
1 1 1 1
direct
0.750 0.750 0.750 Mg
0.500 0.500 0.500 Gd
0.250 0.250 0.250 Fe
0.000 0.000 0.000 Sm
```



# Pm2Co2Ni15

A relaxed Pm2Co2Ni15 crystal (GGA-PBE, the Alexandria database).

Calculated values
Energy of formation from the pure elements: -159 meV/atom
Energy: -5.97 eV/atom
Symmetry: R-3m (166)

Structure (POSCAR):
```
Pm2Co2Ni15
1.0
-0.459 -0.409 6.265
-1.200 -6.173 0.288
5.906 -1.887 1.088
Pm Co Ni
2 2 15
direct
0.342 0.342 0.342 Pm
0.658 0.658 0.658 Pm
0.093 0.093 0.093 Co
0.907 0.907 0.907 Co
0.500 0.000 0.000 Ni
0.000 0.000 0.500 Ni
0.000 0.500 0.000 Ni
0.000 0.707 0.293 Ni
0.707 0.293 0.000 Ni
0.293 0.000 0.707 Ni
0.293 0.707 0.000 Ni
0.707 0.000 0.293 Ni
0.000 0.293 0.707 Ni
0.152 0.658 0.658 Ni
0.658 0.658 0.152 Ni
0.658 0.152 0.658 Ni
0.848 0.342 0.342 Ni
0.342 0.342 0.848 Ni
0.342 0.848 0.342 Ni
```



# AcRhC

A relaxed AcRhC crystal (GGA-PBE, the Alexandria database).

Calculated values
Energy of formation from the pure elements: -59 meV/atom
Energy: -6.95 eV/atom
Symmetry: Cm (8)

Structure (POSCAR):
```
AcRhC
1.0
5.508 -1.000 -0.030
0.174 5.595 -0.030
1.407 1.138 3.873
Rh C Ac
2 2 2
direct
0.697 0.697 0.379 Rh
0.318 0.318 0.342 Rh
0.964 0.118 0.216 C
0.118 0.964 0.216 C
0.629 0.122 0.828 Ac
0.122 0.629 0.828 Ac
```



# Tm2CSe

A relaxed Tm2CSe crystal (GGA-PBE, the Alexandria database).

Calculated values
Raw formation energy: -1197.3 meV per atom
Energy: -6.61 eV/atom
Symmetry: R-3m (166)

Structure (POSCAR):
```
Tm2CSe
1.0
-2.474 0.592 -2.693
-0.584 -2.673 2.497
-1.277 4.725 4.758
Tm C Se
2 1 1
direct
0.533 0.266 0.799 Tm
0.467 0.734 0.201 Tm
0.000 0.000 0.000 C
0.000 0.500 0.500 Se
```



# Be2SiBr

A relaxed Be2SiBr crystal (GGA-PBE, the Alexandria database).

Calculated values
Raw formation energy: 671.9 meV per atom
Energy: -2.97 eV/atom
Symmetry: Immm (71)

Structure (POSCAR):
```
Be2SiBr
1.0
-0.019 1.245 5.648
-3.773 -4.355 -0.491
5.481 1.833 0.225
Be Si Br
2 1 1
direct
0.017 0.017 0.000 Be
0.483 0.483 0.000 Be
0.250 0.750 0.500 Si
0.750 0.250 0.500 Br
```



# TmSc3Hg6

A relaxed TmSc3Hg6 crystal (GGA-PBE, the Alexandria database).

Calculated values
Energy of formation from the pure elements: -362 meV/atom
Energy: -2.89 eV/atom
Symmetry: P2_1/m (11)

Structure (POSCAR):
```
TmSc3Hg6
1.0
-3.179 -0.119 -3.831
1.839 -8.532 -1.261
-8.216 0.279 6.808
Tm Sc Hg
2 6 12
direct
0.250 0.939 0.612 Tm
0.750 0.061 0.388 Tm
0.250 0.522 0.392 Sc
0.750 0.478 0.608 Sc
0.250 0.353 0.805 Sc
0.750 0.647 0.195 Sc
0.250 0.762 0.994 Sc
0.750 0.238 0.006 Sc
0.250 0.464 0.095 Hg
0.750 0.536 0.905 Hg
0.250 0.144 0.206 Hg
0.750 0.856 0.794 Hg
0.250 0.637 0.702 Hg
0.750 0.363 0.298 Hg
0.250 0.253 0.518 Hg
0.750 0.747 0.482 Hg
0.250 0.827 0.306 Hg
0.750 0.173 0.694 Hg
0.250 0.067 0.907 Hg
0.750 0.933 0.093 Hg
```



# Zr2UPb

A relaxed Zr2UPb crystal (GGA-PBE, the Alexandria database).

Calculated values
Energy of formation from the pure elements: 59 meV/atom
Energy: -7.96 eV/atom
Symmetry: P4/mmm (123)

Structure (POSCAR):
```
Zr2UPb
1.0
-0.646 -3.276 2.253
2.181 -2.707 -3.310
4.206 0.689 2.208
Pb U Zr
1 1 2
direct
0.500 0.000 0.000 Pb
0.500 0.500 0.500 U
0.000 0.000 0.500 Zr
0.000 0.500 0.000 Zr
```



# YP2IrO

A relaxed YP2IrO crystal (GGA-PBE, the Alexandria database).

Calculated values
Raw formation energy: 701.3 meV per atom
Energy: -5.52 eV/atom
Symmetry: P4/mmm (123)

Structure (POSCAR):
```
YP2IrO
1.0
-0.214 4.647 -2.464
-1.812 -2.380 -4.331
-3.726 0.507 1.280
Y P Ir O
1 2 1 1
direct
0.000 0.000 0.000 Y
0.000 0.500 0.000 P
0.500 0.000 0.000 P
0.500 0.500 0.500 Ir
0.000 0.000 0.500 O
```



# Y2ZnMo

A relaxed Y2ZnMo crystal (GGA-PBE, the Alexandria database).

Calculated values
Energy of formation from the pure elements: 747 meV/atom
Energy: -5.51 eV/atom
Symmetry: I-42d (122)

Structure (POSCAR):
```
Y2ZnMo
1.0
4.311 0.000 0.000
0.000 4.311 0.000
2.155 2.155 10.017
Y Mo Zn
4 2 2
direct
0.632 0.125 0.250 Y
0.118 0.625 0.250 Y
0.375 0.368 0.750 Y
0.875 0.882 0.750 Y
0.000 0.000 0.000 Mo
0.750 0.250 0.500 Mo
0.500 0.500 0.000 Zn
0.250 0.750 0.500 Zn
```



# Dy7Zn2Bi2

A relaxed Dy7Zn2Bi2 crystal (GGA-PBE, the Alexandria database).

Calculated values
Energy of formation from the pure elements: -126 meV/atom
Energy: -3.99 eV/atom
Symmetry: Cmmm (65)

Structure (POSCAR):
```
Dy7Zn2Bi2
1.0
7.146 -0.003 -0.377
0.003 6.765 0.003
-0.822 -0.003 7.108
Dy Zn Bi
7 2 2
direct
0.000 0.249 0.500 Dy
0.500 0.751 0.000 Dy
0.000 0.751 0.500 Dy
0.500 0.249 0.000 Dy
0.000 0.000 0.000 Dy
0.500 0.761 0.500 Dy
0.500 0.239 0.500 Dy
0.725 0.000 0.275 Zn
0.275 0.000 0.725 Zn
0.805 0.500 0.805 Bi
0.195 0.500 0.195 Bi
```



# DySbIr

A relaxed DySbIr crystal (GGA-PBE, the Alexandria database).

Calculated values
Raw formation energy: -759.8 meV per atom
Energy: -6.62 eV/atom
Symmetry: P-6m2 (187)

Structure (POSCAR):
```
DySbIr
1.0
3.450 0.000 0.000
0.000 4.627 0.000
0.000 -2.313 4.007
Sb Ir Dy
1 1 1
direct
0.167 0.333 0.667 Sb
0.167 0.000 0.000 Ir
0.667 0.667 0.333 Dy
```



# La3TbHo2Te6

A relaxed La3TbHo2Te6 crystal (GGA-PBE, the Alexandria database).

Calculated values
Raw formation energy: -1439.9 meV per atom
Energy: -5.39 eV/atom
Symmetry: C2/m (12)

Structure (POSCAR):
```
La3TbHo2Te6
1.0
-6.365 -1.992 -3.807
6.912 -1.162 -3.137
0.082 -5.671 5.411
La Tb Ho Te
3 1 2 6
direct
0.165 0.835 0.500 La
0.835 0.165 0.500 La
0.500 0.500 0.500 La
0.000 0.000 0.000 Tb
0.334 0.666 0.000 Ho
0.666 0.334 0.000 Ho
0.923 0.587 0.767 Te
0.742 0.742 0.232 Te
0.077 0.413 0.233 Te
0.587 0.923 0.767 Te
0.258 0.258 0.768 Te
0.413 0.077 0.233 Te
```



# BiBBr

A relaxed BiBBr crystal (GGA-PBE, the Alexandria database).

Calculated values
Raw formation energy: 116.8 meV per atom
Energy: -3.96 eV/atom
Symmetry: Pnma (62)

Structure (POSCAR):
```
BiBBr
1.0
3.322 0.000 0.000
0.000 6.275 0.000
0.000 0.000 14.289
Br B Bi
4 4 4
direct
0.750 0.129 0.658 Br
0.250 0.629 0.842 Br
0.250 0.871 0.342 Br
0.750 0.371 0.158 Br
0.750 0.009 0.520 B
0.250 0.509 0.980 B
0.250 0.991 0.480 B
0.750 0.491 0.020 B
0.750 0.623 0.580 Bi
0.250 0.123 0.920 Bi
0.250 0.377 0.420 Bi
0.750 0.877 0.080 Bi
```



# PrErAg

A relaxed PrErAg crystal (GGA-PBE, the Alexandria database).

Calculated values
Energy of formation from the pure elements: -167 meV/atom
Energy: -4.23 eV/atom
Symmetry: I4mm (107)

Structure (POSCAR):
```
PrErAg
1.0
3.632 0.000 0.000
0.000 3.632 0.000
-1.816 -1.816 6.436
Pr Ag Er
1 1 1
direct
0.012 0.012 0.024 Pr
0.679 0.679 0.358 Ag
0.309 0.309 0.618 Er
```



# PmErZn4

A relaxed PmErZn4 crystal (GGA-PBE, the Alexandria database).

Calculated values
Energy of formation from the pure elements: -360 meV/atom
Energy: -2.76 eV/atom
Symmetry: Immm (71)

Structure (POSCAR):
```
PmErZn4
1.0
4.172 0.000 1.678
1.752 5.195 1.669
0.125 -0.445 5.712
Pm Er Zn
1 1 4
direct
0.000 0.500 0.500 Pm
0.000 0.000 0.000 Er
0.666 0.588 0.079 Zn
0.334 0.921 0.412 Zn
0.334 0.412 0.921 Zn
0.666 0.079 0.588 Zn
```



# Ca2Al5Au4

A relaxed Ca2Al5Au4 crystal (GGA-PBE, the Alexandria database).

Calculated values
Energy of formation from the pure elements: -537 meV/atom
Energy: -3.79 eV/atom
Symmetry: Fmmm (69)

Structure (POSCAR):
```
Ca2Al5Au4
1.0
5.535 0.000 0.000
2.768 4.841 0.000
2.768 0.000 8.363
Ca Al Au
2 5 4
direct
0.877 0.000 0.246 Ca
0.123 0.000 0.754 Ca
0.500 0.000 0.000 Al
0.000 0.500 0.000 Al
0.500 0.500 0.000 Al
0.250 0.500 0.500 Al
0.750 0.500 0.500 Al
0.473 0.316 0.737 Au
0.527 0.684 0.263 Au
0.211 0.316 0.263 Au
0.789 0.684 0.737 Au
```



# Sb2AuS2

A relaxed Sb2AuS2 crystal (GGA-PBE, the Alexandria database).

Calculated values
Raw formation energy: 254.5 meV per atom
Energy: -3.70 eV/atom
Symmetry: P4/mbm (127)

Structure (POSCAR):
```
Sb2AuS2
1.0
-0.497 8.245 -0.581
-2.415 0.411 7.909
3.253 0.265 0.980
Sb S Au
4 4 2
direct
0.213 0.713 0.500 Sb
0.713 0.787 0.500 Sb
0.787 0.287 0.500 Sb
0.287 0.213 0.500 Sb
0.373 0.873 0.000 S
0.873 0.627 0.000 S
0.627 0.127 0.000 S
0.127 0.373 0.000 S
0.000 0.000 0.000 Au
0.500 0.500 0.000 Au
```



# CsHoIn2Cl6

A relaxed CsHoIn2Cl6 crystal (GGA-PBE, the Alexandria database).

Calculated values
Raw formation energy: -1662.8 meV per atom
Energy: -3.86 eV/atom
Symmetry: P1 (1)

Structure (POSCAR):
```
CsHoIn2Cl6
1.0
7.951 0.015 0.006
3.988 6.877 0.005
3.984 2.300 6.836
Cs Ho In Cl
1 1 2 6
direct
0.808 0.809 0.573 Cs
0.324 0.323 0.029 Ho
0.524 0.524 0.428 In
0.013 0.014 0.960 In
0.548 0.233 0.231 Cl
0.233 0.988 0.232 Cl
0.987 0.550 0.231 Cl
0.385 0.677 0.777 Cl
0.679 0.158 0.778 Cl
0.160 0.385 0.778 Cl
```



# Hf2RuAu

A relaxed Hf2RuAu crystal (GGA-PBE, the Alexandria database).

Calculated values
Energy of formation from the pure elements: -90 meV/atom
Energy: -8.21 eV/atom
Symmetry: I-42d (122)

Structure (POSCAR):
```
Hf2RuAu
1.0
-5.282 -3.124 4.053
0.836 -6.273 -3.747
-0.228 -5.581 2.075
Hf Au Ru
4 2 2
direct
0.600 0.125 0.250 Hf
0.150 0.625 0.250 Hf
0.375 0.400 0.750 Hf
0.875 0.850 0.750 Hf
0.000 0.000 0.000 Au
0.750 0.250 0.500 Au
0.500 0.500 0.000 Ru
0.250 0.750 0.500 Ru
```



# Na10B13C7

A relaxed Na10B13C7 crystal (GGA-PBE, the Alexandria database).

Calculated values
Energy of formation from the pure elements: 114 meV/atom
Energy: -5.37 eV/atom
Symmetry: Pm (6)

Structure (POSCAR):
```
Na10B13C7
1.0
7.664 -0.032 0.000
-6.041 4.718 0.000
0.000 0.000 8.528
Na B C
10 13 7
direct
0.199 0.800 0.000 Na
0.199 0.800 0.500 Na
0.400 0.600 0.003 Na
0.400 0.600 0.497 Na
0.000 0.000 0.004 Na
0.000 0.000 0.496 Na
0.599 0.399 0.003 Na
0.599 0.399 0.497 Na
0.800 0.199 0.001 Na
0.800 0.199 0.499 Na
0.134 0.534 0.250 B
0.463 0.863 0.750 B
0.320 0.318 0.750 B
0.668 0.667 0.250 B
0.317 0.316 0.250 B
0.687 0.702 0.750 B
0.918 0.721 0.750 B
0.942 0.731 0.250 B
0.300 0.086 0.750 B
0.534 0.134 0.250 B
0.869 0.459 0.750 B
0.731 0.942 0.250 B
0.059 0.270 0.750 B
0.128 0.528 0.750 C
0.469 0.874 0.250 C
0.268 0.065 0.250 C
0.532 0.123 0.750 C
0.875 0.469 0.250 C
0.723 0.933 0.750 C
0.066 0.268 0.250 C
```



# SbPb2Au

A relaxed SbPb2Au crystal (GGA-PBE, the Alexandria database).

Calculated values
Raw formation energy: -48.5 meV per atom
Energy: -3.75 eV/atom
Symmetry: Pm (6)

Structure (POSCAR):
```
SbPb2Au
1.0
4.344 0.000 0.000
0.000 4.471 -0.042
0.000 2.173 5.828
Pb Sb Au
2 1 1
direct
0.000 0.984 0.911 Pb
0.500 0.280 0.310 Pb
0.000 0.698 0.472 Sb
0.500 0.538 0.806 Au
```